Density functional theory data (GGA-PBE) for a relaxed Ho8Sb2Te crystal.

Computed properties:
Raw formation energy, kJ/mol of formula units: -617
Space-group type: C2/m, No. 12
Size of the total moment, μB per formula unit: 0.01
DOS at the Fermi energy, states/eV/f.u.: 11.44
Final energy, eV/atom: -4.95

Cell: 4.035 9.184 9.177 Å, 95.45 102.70 90.00°
Fractional coordinates of all 11 atoms:
Ho (0.015, 0.247, 0.030)
Ho (0.789, 0.646, 0.577)
Ho (0.594, 0.543, 0.189)
Sb (0.826, 0.225, 0.652)
Ho (0.211, 0.354, 0.423)
Ho (0.667, 0.027, 0.334)
Ho (0.406, 0.457, 0.811)
Ho (0.333, 0.973, 0.666)
Te (0.500, 0.000, 0.000)
Sb (0.174, 0.775, 0.348)
Ho (0.985, 0.753, 0.970)